Entry 1:
The following is a PBE calculation of a relaxed Y2ZnSeBr crystal, from Alexandria via LeMat-Bulk.

Calculated total energy (eV per formula unit): -19.418
Symmetry: No. 123
Spin magnetization (Bohr magnetons per cell): 0.00

Unit cell a=5.3845 b=5.3845 c=4.8642 alpha=90.00 beta=90.00 gamma=90.00
Last column: nearest neighbours and their distance in Å.
Sites, in units of the cell vectors:
Y1 0.0000 0.5000 0.0000  2 Br 2.69
Y2 0.5000 0.0000 0.0000  2 Br 2.69
Zn1 0.0000 0.0000 0.5000  2 Br 2.43
Se1 0.5000 0.5000 0.5000  8 Y 3.63, 4 Zn 3.81
Br1 0.0000 0.0000 0.0000  2 Zn 2.43, 4 Y 2.69



Entry 2:
The following is a PBE calculation of a relaxed YZnSe2Br crystal, from Alexandria via LeMat-Bulk.

Distance to the lowest polymorph of the same formula (meV per atom): 0
Calculated total energy (eV per formula unit): -19.470
Symmetry: No. 123
Spin magnetization (Bohr magnetons per cell): 0.00

Unit cell a=5.0364 b=5.0364 c=4.8861 alpha=90.00 beta=90.00 gamma=90.00
Last column: nearest neighbours and their distance in Å.
Sites, in units of the cell vectors:
Y1 0.0000 0.0000 0.0000  8 Se 3.51, 4 Br 3.56
Zn1 0.5000 0.5000 0.5000  2 Br 2.44, 4 Se 2.52
Se1 0.0000 0.5000 0.5000  2 Zn 2.52
Se2 0.5000 0.0000 0.5000  2 Zn 2.52
Br1 0.5000 0.5000 0.0000  2 Zn 2.44



Entry 3:
The following is a PBE calculation of a relaxed YZnSe2Br crystal, from Alexandria via LeMat-Bulk.

Distance to the lowest polymorph of the same formula (meV per atom): 66
Calculated total energy (eV per formula unit): -19.138
Symmetry: No. 123
Spin magnetization (Bohr magnetons per cell): 0.00

Unit cell a=5.5380 b=5.5380 c=5.4956 alpha=90.00 beta=90.00 gamma=90.00
Last column: nearest neighbours and their distance in Å.
Sites, in units of the cell vectors:
Y1 0.0000 0.0000 0.0000  2 Br 2.75, 4 Se 2.77
Zn1 0.5000 0.5000 0.5000  8 Se 3.90, 4 Br 3.92
Se1 0.0000 0.5000 0.0000  2 Y 2.77
Se2 0.5000 0.0000 0.0000  2 Y 2.77
Br1 0.0000 0.0000 0.5000  2 Y 2.75



Entry 4:
The following is a PBE calculation of a relaxed YZrSeBr2 crystal, from Alexandria via LeMat-Bulk.

Distance to the lowest polymorph of the same formula (meV per atom): 0
Calculated total energy (eV per formula unit): -24.764
Symmetry: No. 123
Spin magnetization (Bohr magnetons per cell): 1.43

Unit cell a=5.2395 b=5.2395 c=5.3014 alpha=90.00 beta=90.00 gamma=90.00
Last column: nearest neighbours and their distance in Å.
Sites, in units of the cell vectors:
Y1 0.0000 0.0000 0.0000  4 Se 3.70, 8 Br 3.73
Zr1 0.5000 0.5000 0.5000  4 Br 2.62, 2 Se 2.65
Se1 0.5000 0.5000 0.0000  2 Zr 2.65
Br1 0.0000 0.5000 0.5000  2 Zr 2.62
Br2 0.5000 0.0000 0.5000  2 Zr 2.62